# FeNiPt6 | Alexandria via LeMat-Bulk | SCAN | PBEsol geometry
data_FeNiPt6
_chemical_formula_sum 'Fe1 Ni1 Pt6'
_cell_length_a 3.837
_cell_length_b 3.837
_cell_length_c 7.658
_cell_angle_alpha 90.00
_cell_angle_beta 90.00
_cell_angle_gamma 90.00
_space_group_name_H-M_alt 'P 1'
_space_group_IT_number 1
loop_
_space_group_symop_operation_xyz
'x,y,z'
loop_
_atom_site_label
_atom_site_fract_x
_atom_site_fract_y
_atom_site_fract_z
_atom_site_occupancy
Fe1 0.000 0.000 0.000 1
Ni1 0.000 0.000 0.500 1
Pt1 0.000 0.500 0.249 1
Pt2 0.000 0.500 0.751 1
Pt3 0.500 0.000 0.249 1
Pt4 0.500 0.000 0.751 1
Pt5 0.500 0.500 0.000 1
Pt6 0.500 0.500 0.500 1
# **Final energy**: -457.34 eV/f.u.
# **ΔE_f**: -0.24 eV/atom
# **Density of states at the Fermi level**: 0.8604 states/eV/atom